## ZrTiCo2 (GGA-PBEsol)

Data for a relaxed ZrTiCo2 crystal.

Energy of formation from the pure elements ... -1.242 eV per formula unit
Crystal system ... cubic
D(E_F) ... 1.240 states/eV per atom
V ... 14.02 Å³/atom

Geometry as CIF:
```
data_ZrTiCo2
_space_group_name_H-M_alt 'P 1'
_space_group_IT_number 1
_cell_length_a 4.2969
_cell_length_b 4.2969
_cell_length_c 4.2969
_cell_angle_alpha 60.00
_cell_angle_beta 60.00
_cell_angle_gamma 60.00
loop_
_space_group_symop_operation_xyz
'x,y,z'
loop_
_atom_site_label
_atom_site_type_symbol
_atom_site_fract_x
_atom_site_fract_y
_atom_site_fract_z
Zr1 Zr 0.0000 0.0000 0.0000
Ti1 Ti 0.5000 0.5000 0.5000
Co1 Co 0.2500 0.2500 0.2500
Co2 Co 0.7500 0.7500 0.7500
```

***

## LiTlAu2 (GGA-PBEsol)

Data for a relaxed LiTlAu2 crystal.

Energy of formation from the pure elements ... -0.876 eV per formula unit
Crystal system ... tetragonal
D(E_F) ... 0.273 states/eV per atom
V ... 18.21 Å³/atom

Geometry as CIF:
```
data_LiTlAu2
_space_group_name_H-M_alt 'P 1'
_space_group_IT_number 1
_cell_length_a 3.3693
_cell_length_b 3.3693
_cell_length_c 6.4177
_cell_angle_alpha 90.00
_cell_angle_beta 90.00
_cell_angle_gamma 90.00
loop_
_space_group_symop_operation_xyz
'x,y,z'
loop_
_atom_site_label
_atom_site_type_symbol
_atom_site_fract_x
_atom_site_fract_y
_atom_site_fract_z
Li1 Li 0.0000 0.0000 0.0000
Tl1 Tl 0.0000 0.0000 0.5000
Au1 Au 0.5000 0.5000 0.2129
Au2 Au 0.5000 0.5000 0.7871
```

***

## RbZn3Au (GGA-PBEsol)

Data for a relaxed RbZn3Au crystal.

Energy of formation from the pure elements ... 6.175 eV per formula unit
Crystal system ... cubic
D(E_F) ... 0.000 states/eV per atom
V ... 47.52 Å³/atom

Geometry as CIF:
```
data_RbZn3Au
_space_group_name_H-M_alt 'P 1'
_space_group_IT_number 1
_cell_length_a 6.1938
_cell_length_b 6.1938
_cell_length_c 6.1938
_cell_angle_alpha 90.00
_cell_angle_beta 90.00
_cell_angle_gamma 90.00
loop_
_space_group_symop_operation_xyz
'x,y,z'
loop_
_atom_site_label
_atom_site_type_symbol
_atom_site_fract_x
_atom_site_fract_y
_atom_site_fract_z
Rb1 Rb 0.0000 0.0000 0.0000
Zn1 Zn 0.0000 0.0000 0.5000
Zn2 Zn 0.0000 0.5000 0.0000
Zn3 Zn 0.5000 0.0000 0.0000
Au1 Au 0.5000 0.5000 0.5000
```

***

## Bi2CSe2 (GGA-PBEsol)

Data for a relaxed Bi2CSe2 crystal.

Crystal system ... tetragonal
D(E_F) ... 0.653 states/eV per atom
Formation energy without anion corrections ... 0.857 eV per atom
V ... 26.67 Å³/atom

Geometry as CIF:
```
data_Bi2CSe2
_space_group_name_H-M_alt 'P 1'
_space_group_IT_number 1
_cell_length_a 5.5753
_cell_length_b 5.5753
_cell_length_c 5.5753
_cell_angle_alpha 110.29
_cell_angle_beta 110.29
_cell_angle_gamma 107.85
loop_
_space_group_symop_operation_xyz
'x,y,z'
loop_
_atom_site_label
_atom_site_type_symbol
_atom_site_fract_x
_atom_site_fract_y
_atom_site_fract_z
Bi1 Bi 0.2500 0.7500 0.5000
Bi2 Bi 0.7500 0.2500 0.5000
C1 C 0.0000 0.0000 0.0000
Se1 Se 0.2610 0.2610 0.0000
Se2 Se 0.7390 0.7390 0.0000
```

***

## TaAg2SbN (GGA-PBEsol)

Data for a relaxed TaAg2SbN crystal.

Crystal system ... tetragonal
D(E_F) ... 0.524 states/eV per atom
Formation energy without anion corrections ... 2.156 eV per atom
V ... 26.98 Å³/atom

Geometry as CIF:
```
data_TaAg2SbN
_space_group_name_H-M_alt 'P 1'
_space_group_IT_number 1
_cell_length_a 5.0215
_cell_length_b 5.0215
_cell_length_c 5.3489
_cell_angle_alpha 90.00
_cell_angle_beta 90.00
_cell_angle_gamma 90.00
loop_
_space_group_symop_operation_xyz
'x,y,z'
loop_
_atom_site_label
_atom_site_type_symbol
_atom_site_fract_x
_atom_site_fract_y
_atom_site_fract_z
Ta1 Ta 0.0000 0.0000 0.0000
Ag1 Ag 0.0000 0.5000 0.5000
Ag2 Ag 0.5000 0.0000 0.5000
Sb1 Sb 0.0000 0.0000 0.5000
N1 N 0.5000 0.5000 0.0000
```

***

## FeBr2NCl (GGA-PBEsol)

Data for a relaxed FeBr2NCl crystal.

Crystal system ... tetragonal
D(E_F) ... 1.198 states/eV per atom
Formation energy without anion corrections ... 1.425 eV per atom
V ... 21.13 Å³/atom

Geometry as CIF:
```
data_FeBr2NCl
_space_group_name_H-M_alt 'P 1'
_space_group_IT_number 1
_cell_length_a 5.6083
_cell_length_b 5.6083
_cell_length_c 3.3594
_cell_angle_alpha 90.00
_cell_angle_beta 90.00
_cell_angle_gamma 90.00
loop_
_space_group_symop_operation_xyz
'x,y,z'
loop_
_atom_site_label
_atom_site_type_symbol
_atom_site_fract_x
_atom_site_fract_y
_atom_site_fract_z
Fe1 Fe 0.0000 0.0000 0.0000
Br1 Br 0.0000 0.5000 0.5000
Br2 Br 0.5000 0.0000 0.5000
N1 N 0.5000 0.5000 0.0000
Cl1 Cl 0.5000 0.5000 0.5000
```